The following is a DFT calculation (PBE-GGA) of a geometry-optimized PrY2Ho structure.

Calculated values
Magnetic moment (μB per atom): 0.000
DOS(E_F) (states/eV per atom): 1.67
E_tot (eV per atom): -5.529

Structure (POSCAR):
```
PrY2Ho
1.0
3.557 0.000 0.000
0.000 5.515 0.000
-0.006 0.000 13.536
Pr Y Ho
2 4 2
direct
0.249 0.250 0.203
0.751 0.750 0.797
0.249 0.250 0.936
0.251 0.750 0.543
0.749 0.250 0.457
0.751 0.750 0.064
0.251 0.250 0.685
0.749 0.750 0.315
```

***

The following is a DFT calculation (PBE-GGA) of a geometry-optimized LiIN2O structure.

Calculated values
Formation energy (no corrections) (eV per atom): 1.800
Magnetic moment (μB per atom): 0.509
DOS(E_F) (states/eV per atom): 0.47

Structure (POSCAR):
```
LiIN2O
1.0
3.505 0.000 0.000
0.000 3.505 0.000
0.000 0.000 6.635
Li I N O
1 1 2 1
direct
0.000 0.000 0.000
0.000 0.000 0.500
0.000 0.500 0.000
0.500 0.000 0.000
0.500 0.500 0.500
```

***

The following is a DFT calculation (PBE-GGA) of a geometry-optimized Mn2CBr structure.

Calculated values
Formation energy (no corrections) (eV per atom): 1.385
Magnetic moment (μB per atom): 0.005
DOS(E_F) (states/eV per atom): 1.01

Structure (POSCAR):
```
Mn2CBr
1.0
0.000 2.784 2.784
2.784 0.000 2.784
2.784 2.784 0.000
Mn C Br
2 1 1
direct
0.250 0.250 0.250
0.750 0.750 0.750
0.000 0.000 0.000
0.500 0.500 0.500
```

***

The following is a DFT calculation (PBE-GGA) of a geometry-optimized KZn2Pt2 structure.

Calculated values
Magnetic moment (μB per atom): 0.000
DOS(E_F) (states/eV per atom): 0.32
E_tot (eV per atom): -3.441

Structure (POSCAR):
```
KZn2Pt2
1.0
-2.195 2.195 5.336
2.195 -2.195 5.336
2.195 2.195 -5.336
K Zn Pt
1 2 2
direct
0.000 0.000 0.000
0.250 0.750 0.500
0.750 0.250 0.500
0.378 0.378 0.000
0.622 0.622 0.000
```

***

The following is a DFT calculation (PBE-GGA) of a geometry-optimized RbTl2Tc structure.

Calculated values
Magnetic moment (μB per atom): 0.752
DOS(E_F) (states/eV per atom): 1.20
E_tot (eV per atom): -3.114

Structure (POSCAR):
```
RbTl2Tc
1.0
0.000 3.853 3.853
3.853 0.000 3.853
3.853 3.853 0.000
Rb Tl Tc
1 2 1
direct
0.000 0.000 0.000
0.250 0.250 0.250
0.750 0.750 0.750
0.500 0.500 0.500
```

***

The following is a DFT calculation (PBE-GGA) of a geometry-optimized Ca2PuIr structure.

Calculated values
Magnetic moment (μB per atom): 1.441
DOS(E_F) (states/eV per atom): 2.52
E_tot (eV per atom): -7.026

Structure (POSCAR):
```
Ca2PuIr
1.0
7.675 0.000 0.000
0.000 4.377 0.000
-3.389 0.000 6.971
Ca Pu Ir
4 2 2
direct
0.091 0.250 0.385
0.296 0.250 0.921
0.704 0.750 0.079
0.909 0.750 0.615
0.408 0.750 0.314
0.592 0.250 0.686
0.353 0.750 0.657
0.647 0.250 0.343
```

***

The following is a DFT calculation (PBE-GGA) of a geometry-optimized TbCoSi3Rh structure.

Calculated values
Formation energy (no corrections) (eV per atom): -0.504
Magnetic moment (μB per atom): 0.000
DOS(E_F) (states/eV per atom): 0.48

Structure (POSCAR):
```
TbCoSi3Rh
1.0
3.039 -6.282 0.000
3.039 6.282 0.000
0.000 0.000 5.576
Tb Co Si Rh
2 2 6 2
direct
0.203 0.797 0.750
0.797 0.203 0.250
0.038 0.962 0.250
0.962 0.038 0.750
0.206 0.794 0.250
0.286 0.286 0.000
0.286 0.286 0.500
0.714 0.714 0.000
0.714 0.714 0.500
0.794 0.206 0.750
0.384 0.616 0.250
0.616 0.384 0.750
```

***

The following is a DFT calculation (PBE-GGA) of a geometry-optimized P2PbW structure.

Calculated values
Magnetic moment (μB per atom): 0.000
DOS(E_F) (states/eV per atom): 0.57
E_tot (eV per atom): -6.501

Structure (POSCAR):
```
P2PbW
1.0
1.721 -2.535 0.000
1.721 2.535 0.000
0.000 0.000 9.261
P Pb W
2 1 1
direct
0.000 0.000 0.187
0.000 0.000 0.813
0.500 0.500 0.500
0.500 0.500 0.000
```

***

The following is a DFT calculation (PBE-GGA) of a geometry-optimized CrPb structure.

Calculated values
Magnetic moment (μB per atom): 1.963
DOS(E_F) (states/eV per atom): 0.85
E_tot (eV per atom): -6.028

Structure (POSCAR):
```
CrPb
1.0
1.711 -5.537 0.000
1.711 5.537 0.000
0.000 0.000 4.765
Cr Pb
2 2
direct
0.087 0.913 0.750
0.913 0.087 0.250
0.358 0.642 0.750
0.642 0.358 0.250
```

***

The following is a DFT calculation (PBE-GGA) of a geometry-optimized Zn2Cu8Ni structure.

Calculated values
Magnetic moment (μB per atom): 0.000
DOS(E_F) (states/eV per atom): 0.39
E_tot (eV per atom): -3.586

Structure (POSCAR):
```
Zn2Cu8Ni
1.0
5.504 -3.246 0.000
5.504 3.246 0.000
-0.949 0.000 4.214
Zn Cu Ni
2 8 1
direct
0.124 0.124 0.026
0.876 0.876 0.974
0.231 0.231 0.585
0.245 0.619 0.704
0.359 0.359 0.157
0.381 0.755 0.296
0.619 0.245 0.704
0.641 0.641 0.843
0.755 0.381 0.296
0.769 0.769 0.415
0.000 0.000 0.500
```

***

The following is a DFT calculation (PBE-GGA) of a geometry-optimized SrZn2SnPt structure.

Calculated values
Magnetic moment (μB per atom): 0.000
DOS(E_F) (states/eV per atom): 0.48
E_tot (eV per atom): -3.382

Structure (POSCAR):
```
SrZn2SnPt
1.0
-2.220 2.241 5.649
2.220 -2.241 5.649
2.220 2.241 -5.649
Sr Zn Sn Pt
1 2 1 1
direct
0.000 0.000 0.000
0.392 0.392 0.000
0.741 0.241 0.500
0.248 0.748 0.500
0.615 0.615 0.000
```

***

The following is a DFT calculation (PBE-GGA) of a geometry-optimized LaSc2Fe structure.

Calculated values
Magnetic moment (μB per atom): 0.281
DOS(E_F) (states/eV per atom): 0.97
E_tot (eV per atom): -6.355

Structure (POSCAR):
```
LaSc2Fe
1.0
1.695 0.978 9.499
-1.695 0.978 9.499
0.000 -1.957 9.499
La Sc Fe
1 2 1
direct
0.000 0.000 0.000
0.227 0.227 0.227
0.773 0.773 0.773
0.500 0.500 0.500
```

***

The following is a DFT calculation (PBE-GGA) of a geometry-optimized Cs2NbPdBr6 structure.

Calculated values
Formation energy (no corrections) (eV per atom): -1.013
Magnetic moment (μB per atom): 0.100
DOS(E_F) (states/eV per atom): 1.18

Structure (POSCAR):
```
Cs2NbPdBr6
1.0
-3.791 3.791 5.815
3.791 -3.791 5.815
3.791 3.791 -5.815
Cs Nb Pd Br
2 1 1 6
direct
0.250 0.750 0.500
0.750 0.250 0.500
0.000 0.000 0.000
0.500 0.500 0.000
0.227 0.227 0.000
0.246 0.246 0.493
0.246 0.754 0.000
0.754 0.246 0.000
0.754 0.754 0.507
0.773 0.773 0.000
```

***

The following is a DFT calculation (PBE-GGA) of a geometry-optimized La3PmTl structure.

Calculated values
Magnetic moment (μB per atom): 0.000
DOS(E_F) (states/eV per atom): 1.27
E_tot (eV per atom): -4.538

Structure (POSCAR):
```
La3PmTl
1.0
2.483 -13.318 0.000
2.483 13.318 0.000
0.000 0.000 4.974
La Pm Tl
6 2 2
direct
0.053 0.947 0.750
0.250 0.750 0.750
0.443 0.557 0.750
0.557 0.443 0.250
0.750 0.250 0.250
0.947 0.053 0.250
0.347 0.653 0.250
0.653 0.347 0.750
0.153 0.847 0.250
0.847 0.153 0.750
```

***

The following is a DFT calculation (PBE-GGA) of a geometry-optimized PrGdAl2 structure.

Calculated values
Magnetic moment (μB per atom): 1.782
DOS(E_F) (states/eV per atom): 0.31
E_tot (eV per atom): -6.948

Structure (POSCAR):
```
PrGdAl2
1.0
0.000 3.693 3.693
3.693 0.000 3.693
3.693 3.693 0.000
Pr Gd Al
1 1 2
direct
0.000 0.000 0.000
0.500 0.500 0.500
0.250 0.250 0.250
0.750 0.750 0.750
```

***

The following is a DFT calculation (PBE-GGA) of a geometry-optimized MgBRuW2 structure.

Calculated values
Magnetic moment (μB per atom): 0.369
DOS(E_F) (states/eV per atom): 1.20
E_tot (eV per atom): -5.589

Structure (POSCAR):
```
MgBRuW2
1.0
4.566 0.000 0.000
0.000 4.566 0.000
0.000 0.000 4.289
Mg B Ru W
1 1 1 2
direct
0.000 0.000 0.000
0.500 0.500 0.500
0.000 0.000 0.500
0.000 0.500 0.000
0.500 0.000 0.000
```

***

The following is a DFT calculation (PBE-GGA) of a geometry-optimized Na2TlGa structure.

Calculated values
Magnetic moment (μB per atom): 0.000
DOS(E_F) (states/eV per atom): 0.27
E_tot (eV per atom): -2.048

Structure (POSCAR):
```
Na2TlGa
1.0
7.966 0.000 0.000
0.000 6.823 0.000
-7.241 0.000 7.941
Na Tl Ga
8 4 4
direct
0.023 0.250 0.012
0.023 0.250 0.512
0.250 0.607 0.374
0.250 0.893 0.874
0.750 0.107 0.126
0.750 0.393 0.626
0.977 0.750 0.488
0.977 0.750 0.988
0.500 0.004 0.740
0.500 0.496 0.240
0.500 0.504 0.760
0.500 0.996 0.260
0.286 0.094 0.392
0.286 0.406 0.892
0.714 0.594 0.108
0.714 0.906 0.608
```

***

The following is a DFT calculation (PBE-GGA) of a geometry-optimized Tb2InAu6 structure.

Calculated values
Magnetic moment (μB per atom): 0.000
DOS(E_F) (states/eV per atom): 0.44
E_tot (eV per atom): -4.027

Structure (POSCAR):
```
Tb2InAu6
1.0
7.279 -3.827 0.000
7.279 3.827 0.000
-0.501 0.000 3.640
Tb In Au
2 1 6
direct
0.193 0.193 0.454
0.807 0.807 0.546
0.500 0.500 0.000
0.150 0.531 0.046
0.183 0.817 0.500
0.469 0.850 0.954
0.531 0.150 0.046
0.817 0.183 0.500
0.850 0.469 0.954
```

***

The following is a DFT calculation (PBE-GGA) of a geometry-optimized GaFeSiHN structure.

Calculated values
Magnetic moment (μB per atom): 0.024
DOS(E_F) (states/eV per atom): 0.37
E_tot (eV per atom): -5.935

Structure (POSCAR):
```
GaFeSiHN
1.0
2.863 0.000 0.000
0.000 1.461 5.914
0.000 -1.461 5.914
Ga Fe Si H N
1 1 1 1 1
direct
0.000 0.000 0.000
0.500 0.367 0.367
0.500 0.717 0.717
0.000 0.304 0.304
0.000 0.628 0.628
```

***

The following is a DFT calculation (PBE-GGA) of a geometry-optimized PaBi2Rh structure.

Calculated values
Magnetic moment (μB per atom): 0.005
DOS(E_F) (states/eV per atom): 1.18
E_tot (eV per atom): -5.977

Structure (POSCAR):
```
PaBi2Rh
1.0
1.680 0.970 10.500
-1.680 0.970 10.500
0.000 -1.940 10.500
Pa Bi Rh
1 2 1
direct
0.000 0.000 0.000
0.102 0.102 0.102
0.898 0.898 0.898
0.500 0.500 0.500
```

***

The following is a DFT calculation (PBE-GGA) of a geometry-optimized PmGeH structure.

Calculated values
Magnetic moment (μB per atom): 0.000
DOS(E_F) (states/eV per atom): 0.19
E_tot (eV per atom): -5.004

Structure (POSCAR):
```
PmGeH
1.0
4.183 0.000 0.000
0.000 4.059 0.000
-2.090 0.000 5.959
Pm Ge H
2 2 2
direct
0.148 0.250 0.295
0.852 0.750 0.705
0.435 0.250 0.872
0.565 0.750 0.128
0.254 0.750 0.508
0.746 0.250 0.492
```

***

The following is a DFT calculation (PBE-GGA) of a geometry-optimized Ag8BiO6 structure.

Calculated values
Formation energy (no corrections) (eV per atom): -0.140
Magnetic moment (μB per atom): 0.000
DOS(E_F) (states/eV per atom): 0.22

Structure (POSCAR):
```
Ag8BiO6
1.0
3.561 2.056 5.104
-3.561 2.056 5.104
0.000 -4.111 5.104
Ag Bi O
8 1 6
direct
0.052 0.506 0.229
0.102 0.102 0.102
0.229 0.052 0.506
0.494 0.771 0.948
0.506 0.229 0.052
0.771 0.948 0.494
0.898 0.898 0.898
0.948 0.494 0.771
0.500 0.500 0.500
0.159 0.698 0.398
0.302 0.602 0.841
0.398 0.159 0.698
0.602 0.841 0.302
0.698 0.398 0.159
0.841 0.302 0.602
```

***

The following is a DFT calculation (PBE-GGA) of a geometry-optimized Ta2CrRh structure.

Calculated values
Magnetic moment (μB per atom): 0.000
DOS(E_F) (states/eV per atom): 0.98
E_tot (eV per atom): -10.249

Structure (POSCAR):
```
Ta2CrRh
1.0
2.787 0.000 0.000
0.000 4.490 0.000
-0.995 0.000 5.011
Ta Cr Rh
2 1 1
direct
0.000 0.000 0.000
0.264 0.500 0.711
0.761 0.500 0.196
0.532 0.000 0.489
```

***

The following is a DFT calculation (PBE-GGA) of a geometry-optimized Tb12Pr2Ho structure.

Calculated values
Magnetic moment (μB per atom): 0.000
DOS(E_F) (states/eV per atom): 1.41
E_tot (eV per atom): -4.323

Structure (POSCAR):
```
Tb12Pr2Ho
1.0
6.454 0.000 0.000
0.000 6.454 0.000
0.000 0.000 25.067
Tb Pr Ho
24 4 2
direct
0.063 0.563 0.114
0.063 0.937 0.886
0.082 0.582 0.561
0.082 0.918 0.439
0.250 0.250 0.215
0.250 0.250 0.339
0.250 0.250 0.661
0.250 0.250 0.785
0.418 0.582 0.439
0.418 0.918 0.561
0.437 0.563 0.886
0.437 0.937 0.114
0.563 0.063 0.886
0.563 0.437 0.114
0.582 0.082 0.439
0.582 0.418 0.561
0.750 0.750 0.215
0.750 0.750 0.339
0.750 0.750 0.661
0.750 0.750 0.785
0.918 0.082 0.561
0.918 0.418 0.439
0.937 0.063 0.114
0.937 0.437 0.886
0.250 0.750 0.269
0.250 0.750 0.731
0.750 0.250 0.269
0.750 0.250 0.731
0.250 0.750 0.000
0.750 0.250 0.000
```